(1)
Crystalline La2Ce3In2 at its relaxed geometry. Source: Alexandria, functional PBE-GGA.

Results
space-group type = No. 12
N(E_F) = 15.34 states/eV/f.u.
E = -4.945 eV/atom
energy relative to the lowest polymorph listed for this composition = 0.0000 eV per atom
E_form = -0.21 eV/atom
total magnetic moment = 1.936 μB per formula unit

Cell: 5.3729 6.1510 6.7034 Å, 90.72 90.00 115.90°
Sites, in units of the cell vectors:
La  0.7846  0.5691  0.8267
La  0.2154  0.4309  0.1733
Ce  0.5000  0.0000  0.0000
Ce  0.6030  0.2059  0.3848
Ce  0.3970  0.7941  0.6152
In  0.9103  0.8206  0.3048
In  0.0897  0.1794  0.6952

(2)
Crystalline KZrCo2 at its relaxed geometry. Source: Alexandria, functional PBE-GGA.

Results
space-group type = No. 123
N(E_F) = 5.68 states/eV/f.u.
E = -5.071 eV/atom
energy relative to the lowest polymorph listed for this composition = 0.4922 eV per atom
E_form = 0.89 eV/atom
total magnetic moment = 2.181 μB per formula unit

Cell: 5.0058 5.0057 3.0114 Å, 90.00 90.00 90.00°
Sites, in units of the cell vectors:
Co  0.0000  0.0000  0.0000
Co  0.5000  0.5000  0.0000
K  0.5000  0.0000  0.5000
Zr  0.0000  0.5000  0.5000

(3)
Crystalline RbTaMnPt2 at its relaxed geometry. Source: Alexandria, functional PBE-GGA.

Results
space-group type = No. 123
N(E_F) = 3.39 states/eV/f.u.
E = -6.172 eV/atom
E_form = 0.64 eV/atom
total magnetic moment = 3.471 μB per formula unit

Cell: 5.0449 5.0545 5.0449 Å, 90.00 90.00 90.00°
Sites, in units of the cell vectors:
Mn  0.0000  0.5000  0.0000
Rb  0.5000  0.5000  0.5000
Pt  0.0000  0.0000  0.5000
Pt  0.5000  0.0000  0.0000
Ta  0.0000  0.0000  0.0000